Material: Fe2CoCu
Method: DFT, PBE-GGA
State: optimized geometry

- total moment (μB/f.u.) = 7.152
- electronic total energy (eV per atom) = -6.955
- ΔE to the lowest computed polymorph (meV/atom) = 10
- energy of formation (eV per atom) = 0.077

```
data_Fe2CoCu
_symmetry_space_group_name_H-M 'C m m m'
_symmetry_Int_Tables_number 65
_symmetry_space_group_name_Hall '-C 2 2'
_cell_length_a 2.892
_cell_length_b 4.011
_cell_length_c 8.088
_cell_angle_alpha 90.00
_cell_angle_beta 90.00
_cell_angle_gamma 90.00
loop_
_atom_site_label
_atom_site_fract_x
_atom_site_fract_y
_atom_site_fract_z
_atom_site_occupancy
Fe1 0.000 0.000 0.244 1
Co1 0.000 0.500 0.000 1
Cu1 0.000 0.500 0.500 1
```